A plane-wave DFT calculation with PBE was carried out for La3PmN2 after structural relaxation.

Output
energy relative to the elements, uncorrected: -5.12 eV per formula unit

Unit cell a=6.3142 b=12.2256 c=3.7036 alpha=90.00 beta=90.00 gamma=90.00
With the nearest neighbours (Å) after each atom.
Element x y z (fractional)
La  0.0000  0.0000  0.0000  4 N 2.68
La  0.1388  0.2651  0.5000  3 N 2.54-2.62
La  0.3612  0.7651  0.0000  3 N 2.54-2.62
La  0.5000  0.5000  0.5000  4 N 2.68
La  0.6388  0.2349  0.0000  3 N 2.54-2.62
La  0.8612  0.7349  0.5000  3 N 2.54-2.62
Pm  0.0000  0.5000  0.0000  2 N 2.56
Pm  0.5000  0.0000  0.5000  2 N 2.56
N  0.1800  0.8718  0.5000  5 La 2.54-2.68, 1 Pm 2.56
N  0.3200  0.3718  0.0000  5 La 2.54-2.68, 1 Pm 2.56
N  0.6800  0.6282  0.0000  5 La 2.54-2.68, 1 Pm 2.56
N  0.8200  0.1282  0.5000  5 La 2.54-2.68, 1 Pm 2.56

=====

A plane-wave DFT calculation with PBE was carried out for K3TeH after structural relaxation.

Output
energy above the most stable polymorph in this dataset: 0 meV per atom

Unit cell a=5.3656 b=5.3656 c=5.3656 alpha=90.00 beta=90.00 gamma=90.00
With the nearest neighbours (Å) after each atom.
Element x y z (fractional)
K  0.0000  0.0000  0.5000  2 H 2.68
K  0.0000  0.5000  0.0000  2 H 2.68
K  0.5000  0.0000  0.0000  2 H 2.68
Te  0.5000  0.5000  0.5000  12 K 3.79
H  0.0000  0.0000  0.0000  6 K 2.68

=====

Repeat the first record exactly.
A plane-wave DFT calculation with PBE was carried out for La3PmN2 after structural relaxation.

Output
energy relative to the elements, uncorrected: -5.12 eV per formula unit

Unit cell a=6.3142 b=12.2256 c=3.7036 alpha=90.00 beta=90.00 gamma=90.00
With the nearest neighbours (Å) after each atom.
Element x y z (fractional)
La  0.0000  0.0000  0.0000  4 N 2.68
La  0.1388  0.2651  0.5000  3 N 2.54-2.62
La  0.3612  0.7651  0.0000  3 N 2.54-2.62
La  0.5000  0.5000  0.5000  4 N 2.68
La  0.6388  0.2349  0.0000  3 N 2.54-2.62
La  0.8612  0.7349  0.5000  3 N 2.54-2.62
Pm  0.0000  0.5000  0.0000  2 N 2.56
Pm  0.5000  0.0000  0.5000  2 N 2.56
N  0.1800  0.8718  0.5000  5 La 2.54-2.68, 1 Pm 2.56
N  0.3200  0.3718  0.0000  5 La 2.54-2.68, 1 Pm 2.56
N  0.6800  0.6282  0.0000  5 La 2.54-2.68, 1 Pm 2.56
N  0.8200  0.1282  0.5000  5 La 2.54-2.68, 1 Pm 2.56